30
Lattice="9.0774 -0.0029 0.0000 -0.0144 9.0774 0.0000 -4.5315 -4.5372 11.7168" Properties=species:S:1:pos:R:3 comment="PBEsol Cs5CoAgCl8, relaxed" total_magnetization_mub_per_cell=6.0 sg=Fmm2 crystal_system=orthorhombic formation_energy_uncorrected_kj_per_mol_atoms=-144.9 pbc="T T T"
Cs 0.0103 4.5562 5.8584
Cs 4.5562 0.0160 5.8584
Cs 3.1340 -3.1043 9.5364
Cs -3.1083 3.1301 9.5364
Cs 1.4465 1.4483 9.6068
Cs -1.4077 -1.4094 9.3228
Cs 1.4233 7.6673 2.1804
Cs 7.6655 1.4329 2.1804
Cs 3.1239 3.1278 2.3940
Cs 5.9780 5.9856 2.1100
Co 0.0181 0.0182 5.8601
Co 4.5497 4.5554 5.8567
Ag 4.4264 0.5963 0.0000
Ag 0.5907 4.4271 0.0000
Cl 1.3286 -1.2223 7.1637
Cl -1.2239 1.3271 7.1637
Cl 3.2704 3.2745 7.1528
Cl 5.8038 5.8111 7.1886
Cl 3.3076 5.8643 4.5531
Cl 5.8602 3.3150 4.5531
Cl 1.2723 1.2739 4.5281
Cl -1.2611 -1.2627 4.5639
Cl 5.6283 3.0155 0.0000
Cl 3.0084 5.6321 0.0000
Cl 7.8266 7.8365 0.0000
Cl 1.4796 1.4815 0.0000
Cl -0.0149 4.5327 9.3702
Cl 4.5328 -0.0092 9.3702
Cl 4.5310 -0.0074 2.3466
Cl -0.0131 4.5310 2.3466

---

5
Lattice="-3.8681 -1.3690 0.4664 1.4462 -3.6580 1.2574 -0.0047 1.7184 5.0045" Properties=species:S:1:pos:R:3 comment="PBEsol Co2AgPbCl, relaxed" total_magnetization_mub_per_cell=2.2 sg=P4/mmm crystal_system=tetragonal formation_energy_uncorrected_kj_per_mol_atoms=70.6 pbc="T T T"
Pb -1.2133 -1.6543 3.3642
Co 0.7231 -1.8290 0.6287
Co -1.9340 -0.6845 0.2332
Ag -0.0024 0.8592 2.5023
Cl 0.0000 0.0000 0.0000

---

5
Lattice="-1.1268 -3.4319 -3.0539 4.4441 -1.6106 0.1702 -1.2183 -2.9623 3.7784" Properties=species:S:1:pos:R:3 comment="PBEsol CoAgSCl2, relaxed" total_magnetization_mub_per_cell=2.6 sg=P4/mmm crystal_system=tetragonal formation_energy_uncorrected_kj_per_mol_atoms=71.5 pbc="T T T"
S -0.6091 -1.4811 1.8892
Co 1.0495 -4.0024 0.4474
Ag 0.0000 0.0000 0.0000
Cl 2.2221 -0.8053 0.0851
Cl -0.5634 -1.7159 -1.5269

---

5
Lattice="-3.7557 -3.1066 -1.0253 1.2017 0.1630 -4.8956 3.0870 -3.9389 0.6266" Properties=species:S:1:pos:R:3 comment="PBEsol CrGaAgCl2, relaxed" total_magnetization_mub_per_cell=5.6 sg=P4/mmm crystal_system=tetragonal formation_energy_uncorrected_kj_per_mol_atoms=45.4 pbc="T T T"
Cr 0.2665 -3.4412 -2.6471
Ga -1.8778 -1.5533 -0.5127
Ag 0.0000 0.0000 0.0000
Cl 1.5435 -1.9694 0.3133
Cl 0.6009 0.0815 -2.4478

---

5
Lattice="4.5827 0.0000 0.0000 0.0000 4.5827 0.0000 0.0000 0.0000 5.6366" Properties=species:S:1:pos:R:3 comment="PBEsol MgCrAgCl2, relaxed" total_magnetization_mub_per_cell=4.1 sg=P4/mmm crystal_system=tetragonal formation_energy_uncorrected_kj_per_mol_atoms=-9.7 pbc="T T T"
Cr 0.0000 0.0000 0.0000
Mg 2.2913 2.2913 2.8183
Ag 0.0000 0.0000 2.8183
Cl 0.0000 2.2913 0.0000
Cl 2.2913 0.0000 0.0000

---

5
Lattice="4.8629 0.0000 0.0000 0.0000 4.8629 0.0000 0.0000 0.0000 5.2756" Properties=species:S:1:pos:R:3 comment="PBEsol NaCrAg2Cl, relaxed" total_magnetization_mub_per_cell=4.8 sg=P4/mmm crystal_system=tetragonal formation_energy_uncorrected_kj_per_mol_atoms=110.1 pbc="T T T"
Cr 0.0000 0.0000 2.6378
Na 0.0000 0.0000 0.0000
Ag 0.0000 2.4314 0.0000
Ag 2.4314 0.0000 0.0000
Cl 2.4314 2.4314 2.6378

---

5
Lattice="4.5179 0.0000 0.0000 0.0000 4.8136 0.0000 0.0000 0.0000 4.8136" Properties=species:S:1:pos:R:3 comment="PBEsol CrAg2PdCl, relaxed" total_magnetization_mub_per_cell=5.1 sg=P4/mmm crystal_system=tetragonal formation_energy_uncorrected_kj_per_mol_atoms=92.5 pbc="T T T"
Cr 2.2589 2.4068 2.4068
Pd 2.2589 0.0000 0.0000
Ag 0.0000 0.0000 2.4068
Ag 0.0000 2.4068 0.0000
Cl 0.0000 0.0000 0.0000

---

5
Lattice="-0.4359 4.5087 -1.5387 -3.9922 -1.1889 -2.3527 -2.6667 1.0972 3.9704" Properties=species:S:1:pos:R:3 comment="PBEsol CrAgSCl2, relaxed" total_magnetization_mub_per_cell=4.2 sg=P4/mmm crystal_system=tetragonal formation_energy_uncorrected_kj_per_mol_atoms=36.1 pbc="T T T"
Cr -3.5474 2.2085 0.0395
S -1.3333 0.5486 1.9852
Ag 0.0000 0.0000 0.0000
Cl -1.9961 -0.5945 -1.1764
Cl -0.2180 2.2544 -0.7693

---

10
Lattice="7.4656 0.0000 0.0000 3.7328 6.4654 0.0000 3.7328 2.1551 6.0956" Properties=species:S:1:pos:R:3 comment="PBEsol Cs2DyAgCl6, relaxed" total_magnetization_mub_per_cell=0.0 sg=Fm-3m crystal_system=cubic formation_energy_uncorrected_kj_per_mol_atoms=-178.0 pbc="T T T"
Cs 11.1983 6.4654 4.5717
Cs 3.7328 2.1551 1.5239
Dy 0.0000 0.0000 0.0000
Ag 7.4656 4.3102 3.0478
Cl 7.4656 2.1250 1.5026
Cl 9.3581 5.4029 1.5026
Cl 7.4656 6.4955 4.5930
Cl 9.3581 3.2176 4.5930
Cl 5.5730 5.4029 1.5026
Cl 5.5730 3.2176 4.5930

---

10
Lattice="-1.7022 -0.2216 7.2357 1.8724 -5.9285 4.0804 5.3805 0.5482 5.1041" Properties=species:S:1:pos:R:3 comment="PBEsol Cs2ErAgCl6, relaxed" total_magnetization_mub_per_cell=0.0 sg=Fm-3m crystal_system=cubic formation_energy_uncorrected_kj_per_mol_atoms=-178.3 pbc="T T T"
Cs 4.1630 -4.2014 12.3151
Cs 1.3877 -1.4005 4.1050
Er 0.0000 0.0000 0.0000
Ag 2.7753 -2.8009 8.2101
Cl 0.4946 -1.4871 7.7138
Cl 1.4483 -4.5069 9.7921
Cl 5.0560 -4.1148 8.7064
Cl 3.2352 -1.2079 10.3136
Cl 2.3154 -4.3940 6.1066
Cl 4.1023 -1.0950 6.6280

---

10
Lattice="7.2890 0.0000 0.0000 3.6445 6.3125 0.0000 3.6445 2.1042 5.9514" Properties=species:S:1:pos:R:3 comment="PBEsol Cs2ScAgCl6, relaxed" total_magnetization_mub_per_cell=0.0 sg=Fm-3m crystal_system=cubic formation_energy_uncorrected_kj_per_mol_atoms=-172.8 pbc="T T T"
Cs 10.9335 6.3125 4.4636
Cs 3.6445 2.1042 1.4879
Sc 0.0000 0.0000 0.0000
Ag 7.2890 4.2083 2.9757
Cl 7.2890 2.0221 1.4299
Cl 9.1823 5.3014 1.4299
Cl 7.2890 6.3945 4.5216
Cl 9.1823 3.1152 4.5216
Cl 5.3957 5.3014 1.4299
Cl 5.3957 3.1152 4.5216

---

10
Lattice="-1.3204 -6.6980 -3.2054 5.0953 -5.5298 0.5834 -1.4460 -6.0214 4.3051" Properties=species:S:1:pos:R:3 comment="PBEsol Cs2SmAgCl6, relaxed" total_magnetization_mub_per_cell=0.0 sg=Fm-3m crystal_system=cubic formation_energy_uncorrected_kj_per_mol_atoms=-176.2 pbc="T T T"
Cs 1.7467 -13.6869 1.2623
Cs 0.5822 -4.5623 0.4208
Sm 0.0000 0.0000 0.0000
Ag 1.1644 -9.1246 0.8416
Cl -0.0808 -7.9086 -1.1865
Cl 2.4726 -10.6797 -0.8941
Cl 2.4097 -10.3407 2.8696
Cl -0.8054 -10.9261 0.9709
Cl 3.1343 -7.3232 0.7122
Cl -0.1437 -7.5695 2.5772

---

10
Lattice="7.4816 0.0000 0.0000 3.7408 6.4793 0.0000 3.7408 2.1598 6.1087" Properties=species:S:1:pos:R:3 comment="PBEsol Cs2TbAgCl6, relaxed" total_magnetization_mub_per_cell=0.0 sg=Fm-3m crystal_system=cubic formation_energy_uncorrected_kj_per_mol_atoms=-177.7 pbc="T T T"
Cs 11.2224 6.4793 4.5815
Cs 3.7408 2.1598 1.5272
Tb 0.0000 0.0000 0.0000
Ag 7.4816 4.3195 3.0544
Cl 7.4816 2.1350 1.5097
Cl 9.3735 5.4118 1.5097
Cl 7.4816 6.5040 4.5991
Cl 9.3735 3.2273 4.5991
Cl 5.5898 5.4118 1.5097
Cl 5.5898 3.2273 4.5991

---

10
Lattice="-4.4920 -5.8724 0.0219 -0.5532 -4.2086 6.0535 -6.2031 0.1057 4.0216" Properties=species:S:1:pos:R:3 comment="PBEsol Cs2TlAgCl6, relaxed" total_magnetization_mub_per_cell=0.0 sg=Fm-3m crystal_system=cubic formation_energy_uncorrected_kj_per_mol_atoms=-118.2 pbc="T T T"
Cs -8.4362 -7.4815 7.5727
Cs -2.8121 -2.4938 2.5242
Tl 0.0000 0.0000 0.0000
Ag -5.6241 -4.9876 5.0485
Cl -5.0619 -5.4270 2.5524
Cl -5.3366 -7.5169 5.5584
Cl -6.1863 -4.5483 7.5446
Cl -8.1423 -5.3745 4.5494
Cl -3.1060 -4.6008 5.5476
Cl -5.9116 -2.4584 4.5386

---

10
Lattice="7.4234 0.0000 0.0000 3.7117 6.4288 0.0000 3.7117 2.1429 6.0612" Properties=species:S:1:pos:R:3 comment="PBEsol Cs2TmAgCl6, relaxed" total_magnetization_mub_per_cell=0.0 sg=Fm-3m crystal_system=cubic formation_energy_uncorrected_kj_per_mol_atoms=-178.5 pbc="T T T"
Cs 11.1351 6.4288 4.5459
Cs 3.7117 2.1429 1.5153
Tm 0.0000 0.0000 0.0000
Ag 7.4234 4.2859 3.0306
Cl 7.4234 2.0980 1.4835
Cl 9.3181 5.3798 1.4835
Cl 7.4234 6.4738 4.5777
Cl 9.3181 3.1919 4.5777
Cl 5.5286 5.3798 1.4835
Cl 5.5286 3.1919 4.5777

---

10
Lattice="7.4661 0.0000 0.0000 3.7331 6.4659 0.0000 3.7331 2.1553 6.0961" Properties=species:S:1:pos:R:3 comment="PBEsol Cs2YAgCl6, relaxed" total_magnetization_mub_per_cell=0.0 sg=Fm-3m crystal_system=cubic formation_energy_uncorrected_kj_per_mol_atoms=-178.4 pbc="T T T"
Cs 11.1992 6.4659 4.5721
Cs 3.7331 2.1553 1.5240
Y 7.4661 4.3106 3.0480
Ag 0.0000 0.0000 0.0000
Cl 7.4661 2.1846 1.5447
Cl 9.3073 5.3736 1.5447
Cl 7.4661 6.4366 4.5514
Cl 9.3073 3.2476 4.5514
Cl 5.6250 5.3736 1.5447
Cl 5.6250 3.2476 4.5514

---

3
Lattice="-3.1106 -0.4715 0.2432 1.9838 -1.5448 1.9068 -0.3444 4.2214 3.7783" Properties=species:S:1:pos:R:3 comment="PBEsol CuAgCl, relaxed" total_magnetization_mub_per_cell=0.0 sg=P3m1 crystal_system=trigonal formation_energy_uncorrected_kj_per_mol_atoms=-3.2 relative_energy_mev_per_atom=0 pbc="T T T"
Cu 0.1645 0.2982 2.6816
Ag -0.0070 0.0862 0.0772
Cl -1.6287 1.8207 3.1695

---

5
Lattice="4.7408 0.0000 0.0000 0.0000 4.7408 0.0000 0.0000 0.0000 4.7408" Properties=species:S:1:pos:R:3 comment="PBEsol CuAg3Cl, relaxed" total_magnetization_mub_per_cell=0.0 sg=Pm-3m crystal_system=cubic formation_energy_uncorrected_kj_per_mol_atoms=56.2 pbc="T T T"
Cu 0.0000 0.0000 0.0000
Ag 0.0000 2.3704 0.0000
Ag 0.0000 0.0000 2.3704
Ag 2.3704 0.0000 0.0000
Cl 2.3704 2.3704 2.3704

---

3
Lattice="4.3366 0.0000 0.0000 2.1683 3.7556 0.0000 2.1683 1.2519 3.5408" Properties=species:S:1:pos:R:3 comment="PBEsol CuAgCl, relaxed" total_magnetization_mub_per_cell=0.0 sg=F-43m crystal_system=cubic formation_energy_uncorrected_kj_per_mol_atoms=38.1 relative_energy_mev_per_atom=428 pbc="T T T"
Cu 4.3366 2.5037 1.7704
Ag 6.5049 3.7556 2.6556
Cl 0.0000 0.0000 0.0000

---

5
Lattice="4.6345 0.0000 0.0000 0.0000 4.6345 0.0000 0.0000 0.0000 4.6345" Properties=species:S:1:pos:R:3 comment="PBEsol CuAgCl3, relaxed" total_magnetization_mub_per_cell=0.0 sg=Pm-3m crystal_system=cubic formation_energy_uncorrected_kj_per_mol_atoms=-22.7 pbc="T T T"
Cu 0.0000 0.0000 0.0000
Ag 2.3172 2.3172 2.3172
Cl 0.0000 2.3172 0.0000
Cl 0.0000 0.0000 2.3172
Cl 2.3172 0.0000 0.0000